This record from Alexandria describes crystalline CrGeNO2 at its relaxed geometry. The functional is PBE with a Hubbard U.

a b c (Å): 3.891 3.891 3.736
angles (deg): 90.00 90.00 90.00
Space group P4/mmm (No. 123)
Unique sites:
Cr 0.000 0.000 0.000 (multiplicity 1)
Ge 0.500 0.500 0.500 (multiplicity 1)
N 0.000 0.000 0.500 (multiplicity 1)
O 0.000 0.500 0.000 (multiplicity 2)

Calculated values
Total energy in eV per atom: -6.345
Calculated volume in A^3/atom: 11.31